1.
The following is a DFT calculation (GGA-PBE) of crystalline LaTb3Y4 at its relaxed geometry.

a = 3.4465 Å, b = 6.7418 Å, c = 15.3986 Å
α = 131.04°, β = 96.43°, γ = 90.00°
With the nearest neighbours (Å) after each atom.
Atoms (fractional coordinates):
Y  0.3738  0.8780  0.7476  4 Y 3.28-3.46, 1 La 3.38, 3 Tb 3.53
Y  0.6262  0.1220  0.2524  4 Y 3.28-3.46, 1 La 3.38, 3 Tb 3.53
Y  0.6262  0.6355  0.2524  4 Y 3.28-3.46, 1 La 3.38, 3 Tb 3.53
Y  0.3738  0.3645  0.7476  4 Y 3.28-3.46, 1 La 3.38, 3 Tb 3.53
Tb  0.0000  0.5000  0.0000  2 Tb 3.45, 8 Y 3.75, 4 La 3.79
Tb  0.2400  0.2198  0.4800  6 Tb 3.45-3.82, 6 Y 3.53
Tb  0.7600  0.7802  0.5200  6 Tb 3.45-3.82, 6 Y 3.53
La  0.5000  0.0000  0.0000  4 Y 3.38, 2 La 3.45

V in Å³/f.u.: 267
Calculated total energy in eV per atom: -5.41
Space group: Immm, No. 71
ρ in Mg/m³: 6.043
Fermi-level density of states in states/eV per atom: 2.0067
Total magnetization in μB per cell: 0.0
Polymorph energy (0 for the lowest one) in eV/atom: 0.159
ΔH_f (0 K) in eV/f.u.: 1.4

***

2.
The following is a DFT calculation (GGA-PBE) of crystalline LaTb4Y3 at its relaxed geometry.

a = 3.4587 Å, b = 8.9214 Å, c = 8.9214 Å
α = 82.21°, β = 78.83°, γ = 78.82°
With the nearest neighbours (Å) after each atom.
Atoms (fractional coordinates):
Y  0.7570  0.2431  0.2431  6 Tb 3.33-3.69, 2 Y 3.46, 2 La 3.60
Y  0.2430  0.7569  0.7569  6 Tb 3.33-3.69, 2 Y 3.46, 2 La 3.60
Y  0.0000  0.5000  0.5000  6 Y 3.46-3.76, 8 Tb 3.82-3.83
Tb  0.6346  0.1157  0.6152  3 Y 3.33-3.69, 1 La 3.42, 5 Tb 3.46-3.50
Tb  0.3654  0.8843  0.3848  3 Y 3.33-3.69, 1 La 3.42, 5 Tb 3.46-3.50
Tb  0.3654  0.3848  0.8843  3 Y 3.33-3.69, 1 La 3.42, 5 Tb 3.46-3.50
Tb  0.6346  0.6152  0.1157  3 Y 3.33-3.69, 1 La 3.42, 5 Tb 3.46-3.50
La  0.5000  0.0000  0.0000  4 Tb 3.42, 2 La 3.46, 4 Y 3.60

V in Å³/f.u.: 264
Calculated total energy in eV per atom: -5.22
Space group: Immm, No. 71
ρ in Mg/m³: 6.561
Fermi-level density of states in states/eV per atom: 1.8793
Total magnetization in μB per cell: 0.0
Polymorph energy (0 for the lowest one) in eV/atom: 0.117
ΔH_f (0 K) in eV/f.u.: 1.1

***

3.
The following is a DFT calculation (GGA-PBE) of crystalline La7Tb12Y at its relaxed geometry.

a = 9.8701 Å, b = 9.8701 Å, c = 9.8701 Å
α = 109.47°, β = 109.47°, γ = 109.47°
With the nearest neighbours (Å) after each atom.
Atoms (fractional coordinates):
La  0.5000  0.5000  0.0000  12 Tb 4.03-4.08
La  0.0000  0.5000  0.5000  12 Tb 4.03-4.08
La  0.5000  0.0000  0.5000  12 Tb 4.03-4.08
La  0.5000  0.5000  0.5000  6 Tb 2.85
La  0.0000  0.0000  0.5000  6 Tb 2.85
La  0.5000  0.0000  0.0000  6 Tb 2.85
La  0.0000  0.5000  0.0000  6 Tb 2.85
Tb  0.5057  0.7526  0.7530  2 La 2.85
Tb  0.9996  0.7526  0.2470  2 La 2.85
Tb  0.4943  0.2474  0.2470  2 La 2.85
Tb  0.0004  0.2474  0.7530  2 La 2.85
Tb  0.7530  0.0004  0.2474  2 La 2.85
Tb  0.7530  0.5057  0.7526  2 La 2.85
Tb  0.2470  0.9996  0.7526  2 La 2.85
Tb  0.2470  0.4943  0.2474  2 La 2.85
Tb  0.7526  0.7530  0.5057  2 La 2.85
Tb  0.2474  0.2470  0.4943  2 La 2.85
Tb  0.7526  0.2470  0.9996  2 La 2.85
Tb  0.2474  0.7530  0.0004  2 La 2.85
Y  0.0000  0.0000  0.0000  12 Tb 3.98

V in Å³/f.u.: 740
Calculated total energy in eV per atom: -4.23
Space group: Im-3m, No. 229
ρ in Mg/m³: 6.659
Fermi-level density of states in states/eV per atom: 1.5303
Total magnetization in μB per cell: 0.0
Polymorph energy (0 for the lowest one) in eV/atom: 0.380
ΔH_f (0 K) in eV/f.u.: 12.0

***

4.
The following is a DFT calculation (GGA-PBE) of crystalline La6Tb4Y at its relaxed geometry.

a = 7.0144 Å, b = 7.0144 Å, c = 9.4234 Å
α = 111.85°, β = 111.85°, γ = 90.00°
With the nearest neighbours (Å) after each atom.
Atoms (fractional coordinates):
La  0.8757  0.4897  0.3654  3 Tb 3.45-3.71, 1 Y 3.50, 1 La 3.83
La  0.4897  0.8757  0.3654  3 Tb 3.45-3.71, 1 Y 3.50, 1 La 3.83
La  0.5103  0.5103  0.6346  3 Tb 3.45-3.71, 1 Y 3.50, 1 La 3.83
La  0.0000  0.5000  0.0000  4 Tb 3.08
La  0.1243  0.1243  0.6346  3 Tb 3.45-3.71, 1 Y 3.50, 1 La 3.83
La  0.5000  0.0000  0.0000  4 Tb 3.08
Tb  0.0665  0.7287  0.7951  2 La 3.08, 1 Tb 3.35
Tb  0.9335  0.9335  0.2049  2 La 3.08, 1 Tb 3.35
Tb  0.7287  0.0665  0.7951  2 La 3.08, 1 Tb 3.35
Tb  0.2713  0.2713  0.2049  2 La 3.08, 1 Tb 3.35
Y  0.5000  0.5000  0.0000  8 La 3.50-3.51, 4 Tb 3.67

V in Å³/f.u.: 394
Calculated total energy in eV per atom: -4.68
Space group: I-42m, No. 121
ρ in Mg/m³: 6.563
Fermi-level density of states in states/eV per atom: 1.6023
Total magnetization in μB per cell: 0.0
Polymorph energy (0 for the lowest one) in eV/atom: 0.014
ΔH_f (0 K) in eV/f.u.: 3.0

***

5.
The following is a DFT calculation (GGA-PBE) of crystalline La4Tb5Y3 at its relaxed geometry.

a = 6.0073 Å, b = 8.7315 Å, c = 9.7346 Å
α = 104.87°, β = 72.03°, γ = 69.88°
With the nearest neighbours (Å) after each atom.
Atoms (fractional coordinates):
La  0.8609  0.2252  0.0531  2 La 3.41-3.67, 5 Tb 3.47-3.77, 1 Y 3.52
La  0.1632  0.0532  0.6204  3 Y 3.42-3.56, 3 La 3.63-3.67, 3 Tb 3.72-3.75
La  0.8368  0.9468  0.3796  3 Y 3.42-3.56, 3 La 3.63-3.67, 3 Tb 3.72-3.75
La  0.1391  0.7748  0.9469  2 La 3.41-3.67, 5 Tb 3.47-3.77, 1 Y 3.52
Tb  0.6342  0.9358  0.7958  2 Y 3.32-3.51, 2 Tb 3.49-3.63
Tb  0.5000  0.5000  0.5000  4 Y 3.00-3.16
Tb  0.2129  0.4571  0.1170  4 Y 3.24-3.53, 3 La 3.47-3.55, 1 Tb 3.63
Tb  0.7871  0.5429  0.8830  4 Y 3.24-3.53, 3 La 3.47-3.55, 1 Tb 3.63
Tb  0.3658  0.0642  0.2042  2 Y 3.32-3.51, 2 Tb 3.49-3.63
Y  0.5212  0.6922  0.2655  5 Tb 3.16-3.53, 2 La 3.42-3.52
Y  0.0000  0.5000  0.5000  2 Tb 3.00
Y  0.4788  0.3078  0.7345  5 Tb 3.16-3.53, 2 La 3.42-3.52

V in Å³/f.u.: 417
Calculated total energy in eV per atom: -4.97
Space group: C2/m, No. 12
ρ in Mg/m³: 6.443
Fermi-level density of states in states/eV per atom: 1.7495
Total magnetization in μB per cell: 0.6
ΔH_f (0 K) in eV/f.u.: 2.7

***

6.
The following is a DFT calculation (GGA-PBE) of crystalline La6Tb2Y5 at its relaxed geometry.

a = 3.6705 Å, b = 11.8243 Å, c = 20.9996 Å
α = 90.00°, β = 90.00°, γ = 90.00°
With the nearest neighbours (Å) after each atom.
Atoms (fractional coordinates):
La  0.0000  0.0802  0.3656  1 Tb 3.41, 6 Y 3.47-3.57, 4 La 3.50-3.67
La  0.0000  0.9198  0.6344  1 Tb 3.41, 6 Y 3.47-3.57, 4 La 3.50-3.67
La  0.0000  0.5802  0.1344  1 Tb 3.41, 6 Y 3.47-3.57, 4 La 3.50-3.67
La  0.0000  0.4198  0.8656  1 Tb 3.41, 6 Y 3.47-3.57, 4 La 3.50-3.67
La  0.5000  0.3277  0.1348  2 Y 3.36-3.49, 4 La 3.50-3.67, 2 Tb 3.73
La  0.5000  0.6723  0.8652  2 Y 3.36-3.49, 4 La 3.50-3.67, 2 Tb 3.73
La  0.5000  0.8277  0.3652  2 Y 3.36-3.49, 4 La 3.50-3.67, 2 Tb 3.73
La  0.5000  0.1723  0.6348  2 Y 3.36-3.49, 4 La 3.50-3.67, 2 Tb 3.73
La  0.0000  0.5619  0.4210  6 Y 3.60-3.79, 5 La 3.63-3.82, 1 Tb 3.85
La  0.0000  0.4381  0.5790  6 Y 3.60-3.79, 5 La 3.63-3.82, 1 Tb 3.85
La  0.0000  0.0619  0.0790  6 Y 3.60-3.79, 5 La 3.63-3.82, 1 Tb 3.85
La  0.0000  0.9381  0.9210  6 Y 3.60-3.79, 5 La 3.63-3.82, 1 Tb 3.85
Tb  0.0000  0.3347  0.2896  3 La 3.41-3.73, 6 Y 3.58-3.70, 2 Tb 3.67
Tb  0.0000  0.6653  0.7104  3 La 3.41-3.73, 6 Y 3.58-3.70, 2 Tb 3.67
Tb  0.0000  0.8347  0.2104  3 La 3.41-3.73, 6 Y 3.58-3.70, 2 Tb 3.67
Tb  0.0000  0.1653  0.7896  3 La 3.41-3.73, 6 Y 3.58-3.70, 2 Tb 3.67
Y  0.5000  0.3007  0.4416  6 La 3.57-3.79, 3 Y 3.67-3.76, 2 Tb 3.70
Y  0.5000  0.6993  0.5584  6 La 3.57-3.79, 3 Y 3.67-3.76, 2 Tb 3.70
Y  0.5000  0.8007  0.0584  6 La 3.57-3.79, 3 Y 3.67-3.76, 2 Tb 3.70
Y  0.5000  0.1993  0.9416  6 La 3.57-3.79, 3 Y 3.67-3.76, 2 Tb 3.70
Y  0.5000  0.5937  0.2744  5 La 3.36-3.60, 4 Tb 3.58-3.65, 2 Y 3.67
Y  0.5000  0.4063  0.7256  5 La 3.36-3.60, 4 Tb 3.58-3.65, 2 Y 3.67
Y  0.5000  0.0937  0.2256  5 La 3.36-3.60, 4 Tb 3.58-3.65, 2 Y 3.67
Y  0.5000  0.9063  0.7744  5 La 3.36-3.60, 4 Tb 3.58-3.65, 2 Y 3.67
Y  0.5000  0.5000  0.0000  6 La 3.49-3.50, 4 Y 3.67-3.76
Y  0.5000  0.0000  0.5000  6 La 3.49-3.50, 4 Y 3.67-3.76

V in Å³/f.u.: 456
Calculated total energy in eV per atom: -5.36
Space group: Pbam, No. 55
ρ in Mg/m³: 5.815
Fermi-level density of states in states/eV per atom: 1.4212
Total magnetization in μB per cell: 0.0
ΔH_f (0 K) in eV/f.u.: 1.4

***

7.
The following is a DFT calculation (GGA-PBE) of crystalline La3TbY2 at its relaxed geometry.

a = 6.3577 Å, b = 6.3585 Å, c = 11.9336 Å
α = 84.91°, β = 79.77°, γ = 60.00°
With the nearest neighbours (Å) after each atom.
Atoms (fractional coordinates):
La  0.4174  0.6657  0.7503  2 Tb 3.62, 4 Y 3.62-3.63, 6 La 3.67-3.68
La  0.2511  0.0000  0.2496  2 Tb 3.62, 4 Y 3.62-3.63, 6 La 3.67-3.68
La  0.5826  0.3343  0.2497  2 Tb 3.62, 4 Y 3.62-3.63, 6 La 3.67-3.68
La  0.9169  0.6657  0.2497  2 Tb 3.62, 4 Y 3.62-3.63, 6 La 3.67-3.68
La  0.0831  0.3343  0.7503  2 Tb 3.62, 4 Y 3.62-3.63, 6 La 3.67-3.68
La  0.7489  0.0000  0.7504  2 Tb 3.62, 4 Y 3.62-3.63, 6 La 3.67-3.68
Tb  0.6667  0.6665  0.0000  6 La 3.62, 3 Tb 3.67, 3 Y 3.67
Tb  0.3333  0.3335  0.0000  6 La 3.62, 3 Tb 3.67, 3 Y 3.67
Y  0.0000  0.0000  0.0000  6 La 3.62, 6 Tb 3.67
Y  0.5000  0.0000  0.5000  6 La 3.62-3.63, 6 Y 3.67
Y  0.1667  0.6666  0.5000  6 La 3.62-3.63, 6 Y 3.67
Y  0.8333  0.3334  0.5000  6 La 3.62-3.63, 6 Y 3.67

V in Å³/f.u.: 206
Calculated total energy in eV per atom: -5.38
Space group: C2/m, No. 12
ρ in Mg/m³: 6.086
Fermi-level density of states in states/eV per atom: 1.2009
Total magnetization in μB per cell: 0.0
Polymorph energy (0 for the lowest one) in eV/atom: 0.000
ΔH_f (0 K) in eV/f.u.: 0.0

***

8.
The following is a DFT calculation (GGA-PBE) of crystalline La5Tb4Y2 at its relaxed geometry.

a = 3.5506 Å, b = 9.2642 Å, c = 12.9814 Å
α = 110.91°, β = 97.86°, γ = 90.00°
With the nearest neighbours (Å) after each atom.
Atoms (fractional coordinates):
La  0.8539  0.0523  0.7078  3 Y 3.49-3.88, 3 Tb 3.52-3.67, 3 La 3.55-3.68
La  0.8539  0.6555  0.7078  3 Y 3.49-3.88, 3 Tb 3.52-3.67, 3 La 3.55-3.68
La  0.1461  0.3445  0.2922  3 Y 3.49-3.88, 3 Tb 3.52-3.67, 3 La 3.55-3.68
La  0.1461  0.9477  0.2922  3 Y 3.49-3.88, 3 Tb 3.52-3.67, 3 La 3.55-3.68
La  0.5000  0.0000  0.0000  4 Tb 3.41, 2 La 3.55
Tb  0.0000  0.3140  0.0000  7 Tb 3.39-3.55, 4 La 3.41-3.67
Tb  0.5967  0.5967  0.1933  1 Y 3.21, 6 Tb 3.39-3.55, 4 La 3.52
Tb  0.0000  0.6860  0.0000  7 Tb 3.39-3.55, 4 La 3.41-3.67
Tb  0.4033  0.4033  0.8067  1 Y 3.21, 6 Tb 3.39-3.55, 4 La 3.52
Y  0.2696  0.2696  0.5393  1 Tb 3.21, 2 La 3.49, 2 Y 3.55
Y  0.7304  0.7304  0.4607  1 Tb 3.21, 2 La 3.49, 2 Y 3.55

V in Å³/f.u.: 395
Calculated total energy in eV per atom: -4.91
Space group: Immm, No. 71
ρ in Mg/m³: 6.346
Fermi-level density of states in states/eV per atom: 1.6382
Total magnetization in μB per cell: 0.0
Polymorph energy (0 for the lowest one) in eV/atom: 0.060
ΔH_f (0 K) in eV/f.u.: 2.0

***

9.
The following is a DFT calculation (GGA-PBE) of crystalline La3TbY2 at its relaxed geometry.

a = 11.2394 Å, b = 8.9263 Å, c = 8.9263 Å
α = 46.55°, β = 50.98°, γ = 50.98°
With the nearest neighbours (Å) after each atom.
Atoms (fractional coordinates):
La  0.5000  0.2500  0.7500  4 La 3.16-3.53
La  0.5000  0.7500  0.2500  4 La 3.16-3.53
La  0.2353  0.0147  0.5147  3 La 3.16-3.53, 2 Tb 3.32, 4 Y 3.37-3.39
La  0.7647  0.4853  0.9853  3 La 3.16-3.53, 2 Tb 3.32, 4 Y 3.37-3.39
La  0.7647  0.9853  0.4853  3 La 3.16-3.53, 2 Tb 3.32, 4 Y 3.37-3.39
La  0.2353  0.5147  0.0147  3 La 3.16-3.53, 2 Tb 3.32, 4 Y 3.37-3.39
Tb  0.0000  0.5000  0.5000  4 La 3.32, 2 Tb 3.53
Tb  0.0000  0.0000  0.0000  4 La 3.32, 2 Tb 3.53
Y  0.9445  0.3009  0.3009  4 La 3.37-3.39, 1 Tb 3.72, 2 Y 3.73
Y  0.5463  0.1991  0.1991  4 La 3.37-3.39, 1 Tb 3.72, 2 Y 3.73
Y  0.4537  0.8009  0.8009  4 La 3.37-3.39, 1 Tb 3.72, 2 Y 3.73
Y  0.0555  0.6991  0.6991  4 La 3.37-3.39, 1 Tb 3.72, 2 Y 3.73

V in Å³/f.u.: 237
Calculated total energy in eV per atom: -4.83
Space group: Ibam, No. 72
ρ in Mg/m³: 5.285
Fermi-level density of states in states/eV per atom: 1.8226
Total magnetization in μB per cell: 0.0
Polymorph energy (0 for the lowest one) in eV/atom: 0.556
ΔH_f (0 K) in eV/f.u.: 3.4

***

10.
The following is a DFT calculation (GGA-PBE) of crystalline La8Tb2Y3 at its relaxed geometry.

a = 6.1910 Å, b = 9.0486 Å, c = 9.0486 Å
α = 81.95°, β = 72.81°, γ = 72.81°
With the nearest neighbours (Å) after each atom.
Atoms (fractional coordinates):
La  0.2625  0.5850  0.5850  1 La 2.95
La  0.7375  0.4150  0.4150  1 La 2.95
La  0.8841  0.1394  0.1394  1 Tb 3.36, 2 La 3.51, 4 Y 3.53-3.66
La  0.1159  0.8606  0.8606  1 Tb 3.36, 2 La 3.51, 4 Y 3.53-3.66
La  0.6503  0.5979  0.0761  2 La 3.39-3.56, 2 Tb 3.47-3.79, 3 Y 3.50-3.78
La  0.6503  0.0761  0.5979  2 La 3.39-3.56, 2 Tb 3.47-3.79, 3 Y 3.50-3.78
La  0.3497  0.9239  0.4021  2 La 3.39-3.56, 2 Tb 3.47-3.79, 3 Y 3.50-3.78
La  0.3497  0.4021  0.9239  2 La 3.39-3.56, 2 Tb 3.47-3.79, 3 Y 3.50-3.78
Tb  0.3213  0.3139  0.3139  6 La 3.33-3.58, 2 Y 3.72
Tb  0.6787  0.6861  0.6861  6 La 3.33-3.58, 2 Y 3.72
Y  0.5000  0.0000  0.0000  8 La 3.50-3.58
Y  0.0000  0.2707  0.7293  8 La 3.59-3.78, 2 Tb 3.72
Y  0.0000  0.7293  0.2707  8 La 3.59-3.78, 2 Tb 3.72

V in Å³/f.u.: 462
Calculated total energy in eV per atom: -5.10
Space group: C2/m, No. 12
ρ in Mg/m³: 6.097
Fermi-level density of states in states/eV per atom: 1.6692
Total magnetization in μB per cell: 0.0
Polymorph energy (0 for the lowest one) in eV/atom: 0.000
ΔH_f (0 K) in eV/f.u.: 1.8